(1)
A plane-wave DFT calculation with GGA-PBE was carried out for a geometry-optimized P2WSe structure.

total DFT energy (no corrections) = -24.38 eV/cell
magnetic moment = 0.00 μB/atom
ΔE_f (raw) = 0.719 eV/atom
mass density = 8699 kg/m3
D(E_F) = 2.85 states/eV per cell

a = 3.0462 Å, b = 4.3082 Å, c = 4.7236 Å
α = 90.00°, β = 90.00°, γ = 90.00°
Fractional coordinates of all 4 atoms:
P (0.0000, 0.0000, 0.0000)
P (0.5000, 0.0000, 0.5000)
W (0.0000, 0.5000, 0.5000)
Se (0.5000, 0.5000, 0.0000)

(2)
A plane-wave DFT calculation with GGA-PBE was carried out for a geometry-optimized Pm6Nd4Y structure.

total DFT energy (no corrections) = -50.95 eV/cell
magnetic moment = 0.00 μB/atom
energy above the lowest structure with this stoichiometry = 0 meV/atom
ΔE_f = 0.28 eV per atom
mass density = 6488 kg/m3
D(E_F) = 17.27 states/eV per cell

a = 9.8486 Å, b = 9.8486 Å, c = 9.8486 Å
α = 139.88°, β = 139.88°, γ = 58.03°
Fractional coordinates of all 11 atoms:
Pm (0.0000, 0.5000, 0.5000)
Pm (0.2000, 0.2000, 0.6488)
Pm (0.4488, 0.8000, 0.0000)
Pm (0.5000, 0.0000, 0.5000)
Pm (0.5512, 0.5512, 0.3512)
Pm (0.8000, 0.4488, 0.0000)
Nd (0.0117, 0.6334, 0.0000)
Nd (0.3666, 0.3666, 0.3783)
Nd (0.6334, 0.0117, 0.0000)
Nd (0.9883, 0.9883, 0.6217)
Y (0.0000, 0.0000, 0.0000)

(3)
A plane-wave DFT calculation with GGA-PBE was carried out for a geometry-optimized Na2SmGe3Pt4 structure.

total DFT energy (no corrections) = -51.04 eV/cell
magnetic moment = 0.00 μB/atom
ΔE_f = -0.57 eV per atom
mass density = 9519 kg/m3
D(E_F) = 6.06 states/eV per cell

a = 4.3889 Å, b = 4.3889 Å, c = 10.8190 Å
α = 90.00°, β = 90.00°, γ = 90.00°
Fractional coordinates of all 10 atoms:
Na (0.0000, 0.5000, 0.2242)
Na (0.5000, 0.0000, 0.7758)
Sm (0.0000, 0.0000, 0.5000)
Ge (0.0000, 0.5000, 0.8833)
Ge (0.5000, 0.0000, 0.1167)
Ge (0.5000, 0.5000, 0.5000)
Pt (0.0000, 0.0000, 0.0000)
Pt (0.0000, 0.5000, 0.6586)
Pt (0.5000, 0.0000, 0.3414)
Pt (0.5000, 0.5000, 0.0000)

(4)
A plane-wave DFT calculation with GGA-PBE was carried out for a geometry-optimized InRu2Br structure.

total DFT energy (no corrections) = -20.52 eV/cell
magnetic moment = 0.00 μB/atom
energy above the lowest structure with this stoichiometry = 346 meV/atom
ΔE_f (raw) = 0.610 eV/atom
mass density = 9124 kg/m3
D(E_F) = 4.12 states/eV per cell

a = 5.6265 Å, b = 5.6265 Å, c = 4.4386 Å
α = 97.59°, β = 97.59°, γ = 31.26°
Fractional coordinates of all 4 atoms:
In (0.0000, 0.0000, 0.0000)
Ru (0.4310, 0.4310, 0.4604)
Ru (0.7272, 0.7272, 0.2388)
Br (0.2384, 0.2384, 0.7169)

(5)
A plane-wave DFT calculation with GGA-PBE was carried out for a geometry-optimized CaCo2Mo structure.

total DFT energy (no corrections) = -25.23 eV/cell
magnetic moment = 0.42 μB/atom
energy above the lowest structure with this stoichiometry = 237 meV/atom
ΔE_f = 0.45 eV per atom
mass density = 6981 kg/m3
D(E_F) = 2.84 states/eV per cell

a = 4.6223 Å, b = 4.6223 Å, c = 2.8265 Å
α = 90.00°, β = 90.00°, γ = 90.00°
Fractional coordinates of all 4 atoms:
Ca (0.0000, 0.0000, 0.0000)
Co (0.0000, 0.5000, 0.5000)
Co (0.5000, 0.0000, 0.5000)
Mo (0.5000, 0.5000, 0.0000)

(6)
A plane-wave DFT calculation with GGA-PBE was carried out for a geometry-optimized SmTlAg structure.

total DFT energy (no corrections) = -8.80 eV/cell
magnetic moment = 0.00 μB/atom
ΔE_f = 0.38 eV per atom
mass density = 8468 kg/m3
D(E_F) = 2.84 states/eV per cell

a = 8.3324 Å, b = 8.3324 Å, c = 8.3324 Å
α = 156.66°, β = 156.66°, γ = 33.24°
Fractional coordinates of all 3 atoms:
Sm (0.0000, 0.0000, 0.0000)
Tl (0.1984, 0.1984, 0.0000)
Ag (0.8160, 0.8160, 0.0000)

(7)
A plane-wave DFT calculation with GGA-PBE was carried out for a geometry-optimized KCd2As structure.

total DFT energy (no corrections) = -7.67 eV/cell
magnetic moment = 0.00 μB/atom
ΔE_f = -0.02 eV per atom
mass density = 4801 kg/m3
D(E_F) = 1.24 states/eV per cell

a = 5.6626 Å, b = 5.6626 Å, c = 5.6626 Å
α = 131.66°, β = 115.78°, γ = 84.28°
Fractional coordinates of all 4 atoms:
K (0.0000, 0.0000, 0.0000)
Cd (0.2995, 0.7995, 0.5000)
Cd (0.5520, 0.5520, 0.0000)
As (0.7110, 0.2110, 0.5000)

(8)
A plane-wave DFT calculation with GGA-PBE was carried out for a geometry-optimized Ta4Al structure.

total DFT energy (no corrections) = -45.79 eV/cell
magnetic moment = 0.00 μB/atom
energy above the lowest structure with this stoichiometry = 1118 meV/atom
ΔE_f = 1.07 eV per atom
mass density = 11978 kg/m3
D(E_F) = 5.57 states/eV per cell

a = 5.1326 Å, b = 5.1326 Å, c = 5.1326 Å
α = 109.47°, β = 109.47°, γ = 109.47°
Fractional coordinates of all 5 atoms:
Ta (0.0000, 0.0000, 0.5000)
Ta (0.0000, 0.5000, 0.0000)
Ta (0.5000, 0.0000, 0.0000)
Ta (0.5000, 0.5000, 0.5000)
Al (0.0000, 0.0000, 0.0000)

(9)
A plane-wave DFT calculation with GGA-PBE was carried out for a geometry-optimized LiTbSmCo structure.

total DFT energy (no corrections) = -18.48 eV/cell
magnetic moment = 0.00 μB/atom
ΔE_f = -0.03 eV per atom
mass density = 7373 kg/m3
D(E_F) = 3.31 states/eV per cell

a = 4.9255 Å, b = 4.9255 Å, c = 4.9255 Å
α = 60.00°, β = 60.00°, γ = 60.00°
Fractional coordinates of all 4 atoms:
Li (0.0000, 0.0000, 0.0000)
Tb (0.2500, 0.2500, 0.2500)
Sm (0.7500, 0.7500, 0.7500)
Co (0.5000, 0.5000, 0.5000)

(10)
A plane-wave DFT calculation with GGA-PBE was carried out for a geometry-optimized CaYBeRu2 structure.

total DFT energy (no corrections) = -21.63 eV/cell
magnetic moment = 0.22 μB/atom
ΔE_f = 1.82 eV per atom
mass density = 4288 kg/m3
D(E_F) = 4.51 states/eV per cell

a = 4.8571 Å, b = 4.8571 Å, c = 5.5830 Å
α = 90.00°, β = 90.00°, γ = 90.00°
Fractional coordinates of all 5 atoms:
Ca (0.0000, 0.0000, 0.0000)
Y (0.0000, 0.0000, 0.5000)
Be (0.5000, 0.5000, 0.0000)
Ru (0.0000, 0.5000, 0.5000)
Ru (0.5000, 0.0000, 0.5000)

(11)
A plane-wave DFT calculation with GGA-PBE was carried out for a geometry-optimized NbSeN structure.

total DFT energy (no corrections) = -46.09 eV/cell
magnetic moment = 0.00 μB/atom
energy above the lowest structure with this stoichiometry = 220 meV/atom
ΔE_f (raw) = -0.388 eV/atom
mass density = 4659 kg/m3
D(E_F) = 1.24 states/eV per cell

a = 7.9818 Å, b = 7.9818 Å, c = 3.2953 Å
α = 90.00°, β = 90.00°, γ = 140.87°
Fractional coordinates of all 6 atoms:
Nb (0.1843, 0.8157, 0.7500)
Nb (0.8157, 0.1843, 0.2500)
Se (0.3348, 0.6652, 0.2500)
Se (0.6652, 0.3348, 0.7500)
N (0.1180, 0.8820, 0.2500)
N (0.8820, 0.1180, 0.7500)

(12)
A plane-wave DFT calculation with GGA-PBE was carried out for a geometry-optimized TaAlTl structure.

total DFT energy (no corrections) = -17.07 eV/cell
magnetic moment = 0.00 μB/atom
energy above the lowest structure with this stoichiometry = 0 meV/atom
ΔE_f = 0.30 eV per atom
mass density = 11407 kg/m3
D(E_F) = 2.01 states/eV per cell

a = 3.0888 Å, b = 3.0888 Å, c = 7.2645 Å
α = 90.00°, β = 90.00°, γ = 120.00°
Fractional coordinates of all 3 atoms:
Ta (0.0000, 0.0000, 0.0000)
Al (0.3333, 0.6667, 0.7019)
Tl (0.6667, 0.3333, 0.3523)

(13)
A plane-wave DFT calculation with GGA-PBE was carried out for a geometry-optimized SrZnIn2 structure.

total DFT energy (no corrections) = -9.12 eV/cell
magnetic moment = 0.00 μB/atom
ΔE_f = -0.17 eV per atom
mass density = 5896 kg/m3
D(E_F) = 3.29 states/eV per cell

a = 4.7052 Å, b = 4.7052 Å, c = 4.8679 Å
α = 90.00°, β = 90.00°, γ = 90.00°
Fractional coordinates of all 4 atoms:
Sr (0.0000, 0.0000, 0.0000)
Zn (0.5000, 0.5000, 0.0000)
In (0.0000, 0.5000, 0.5000)
In (0.5000, 0.0000, 0.5000)

(14)
A plane-wave DFT calculation with GGA-PBE was carried out for a geometry-optimized Nd6CdRu2I3 structure.

total DFT energy (no corrections) = -60.40 eV/cell
magnetic moment = 0.00 μB/atom
ΔE_f (raw) = -0.640 eV/atom
mass density = 6677 kg/m3
D(E_F) = 6.18 states/eV per cell

a = 7.3750 Å, b = 7.3750 Å, c = 8.5799 Å
α = 98.23°, β = 98.23°, γ = 119.80°
Fractional coordinates of all 12 atoms:
Nd (0.0647, 0.4337, 0.8071)
Nd (0.1935, 0.1935, 0.1897)
Nd (0.4337, 0.0647, 0.8071)
Nd (0.5663, 0.9353, 0.1929)
Nd (0.8065, 0.8065, 0.8103)
Nd (0.9353, 0.5663, 0.1929)
Cd (0.5000, 0.5000, 0.0000)
Ru (0.1676, 0.8324, 0.0000)
Ru (0.8324, 0.1676, 0.0000)
I (0.0000, 0.0000, 0.5000)
I (0.3373, 0.6627, 0.5000)
I (0.6627, 0.3373, 0.5000)

(15)
A plane-wave DFT calculation with GGA-PBE was carried out for a geometry-optimized LiHoCdSn structure.

total DFT energy (no corrections) = -13.16 eV/cell
magnetic moment = 0.00 μB/atom
energy above the lowest structure with this stoichiometry = 5 meV/atom
ΔE_f = -0.44 eV per atom
mass density = 7167 kg/m3
D(E_F) = 1.33 states/eV per cell

a = 5.0922 Å, b = 5.0922 Å, c = 5.0922 Å
α = 60.00°, β = 60.00°, γ = 60.00°
Fractional coordinates of all 4 atoms:
Li (0.0000, 0.0000, 0.0000)
Ho (0.5000, 0.5000, 0.5000)
Cd (0.7500, 0.7500, 0.7500)
Sn (0.2500, 0.2500, 0.2500)

(16)
A plane-wave DFT calculation with GGA-PBE was carried out for a geometry-optimized Rb3Na11 structure.

total DFT energy (no corrections) = -16.90 eV/cell
magnetic moment = 0.00 μB/atom
ΔE_f = 0.04 eV per atom
mass density = 1248 kg/m3
D(E_F) = 5.84 states/eV per cell

a = 11.3121 Å, b = 11.3121 Å, c = 11.3121 Å
α = 149.40°, β = 110.52°, γ = 77.80°
Fractional coordinates of all 14 atoms:
Rb (0.0000, 0.0000, 0.0000)
Rb (0.3014, 0.3014, 0.0000)
Rb (0.6986, 0.6986, 0.0000)
Na (0.0253, 0.6716, 0.3537)
Na (0.1575, 0.8747, 0.2828)
Na (0.3088, 0.5000, 0.8088)
Na (0.3180, 0.6716, 0.6463)
Na (0.4081, 0.1253, 0.2828)
Na (0.5000, 0.0000, 0.5000)
Na (0.5919, 0.8747, 0.7172)
Na (0.6820, 0.3284, 0.3537)
Na (0.6912, 0.5000, 0.1912)
Na (0.8425, 0.1253, 0.7172)
Na (0.9747, 0.3284, 0.6463)

(17)
A plane-wave DFT calculation with GGA-PBE was carried out for a geometry-optimized TaTl2Zn structure.

total DFT energy (no corrections) = -15.67 eV/cell
magnetic moment = 0.00 μB/atom
energy above the lowest structure with this stoichiometry = 194 meV/atom
ΔE_f = 0.55 eV per atom
mass density = 12414 kg/m3
D(E_F) = 2.32 states/eV per cell

a = 3.1921 Å, b = 3.1921 Å, c = 9.9028 Å
α = 90.00°, β = 90.00°, γ = 119.73°
Fractional coordinates of all 4 atoms:
Ta (0.0000, 0.0000, 0.0000)
Tl (0.5000, 0.5000, 0.2557)
Tl (0.5000, 0.5000, 0.7443)
Zn (0.0000, 0.0000, 0.5000)

(18)
A plane-wave DFT calculation with GGA-PBE was carried out for a geometry-optimized CaNb2H structure.

total DFT energy (no corrections) = -50.18 eV/cell
magnetic moment = 0.00 μB/atom
energy above the lowest structure with this stoichiometry = 37 meV/atom
mass density = 5217 kg/m3
D(E_F) = 4.87 states/eV per cell

a = 5.0701 Å, b = 5.0866 Å, c = 6.1505 Å
α = 89.13°, β = 65.66°, γ = 87.99°
Fractional coordinates of all 8 atoms:
Ca (0.0000, 0.0000, 0.0000)
Ca (0.4956, 0.5031, 0.9996)
Nb (0.1956, 0.5024, 0.5959)
Nb (0.3163, 0.0172, 0.3999)
Nb (0.6982, 0.0005, 0.6056)
Nb (0.7748, 0.4840, 0.4092)
H (0.0355, 0.7564, 0.4143)
H (0.4997, 0.0060, 0.0015)

(19)
A plane-wave DFT calculation with GGA-PBE was carried out for a geometry-optimized IrRu structure.

total DFT energy (no corrections) = -16.12 eV/cell
magnetic moment = 0.00 μB/atom
energy above the lowest structure with this stoichiometry = 1061 meV/atom
ΔE_f = 1.01 eV per atom
mass density = 11554 kg/m3
D(E_F) = 1.54 states/eV per cell

a = 3.9063 Å, b = 3.9063 Å, c = 3.9063 Å
α = 60.00°, β = 60.00°, γ = 60.00°
Fractional coordinates of all 2 atoms:
Ir (0.0000, 0.0000, 0.0000)
Ru (0.7500, 0.7500, 0.7500)

(20)
A plane-wave DFT calculation with GGA-PBE was carried out for a geometry-optimized LiCoHI2 structure.

total DFT energy (no corrections) = -11.24 eV/cell
magnetic moment = 0.64 μB/atom
mass density = 4035 kg/m3
D(E_F) = 4.80 states/eV per cell

a = 5.3610 Å, b = 5.3610 Å, c = 4.5915 Å
α = 90.00°, β = 90.00°, γ = 90.00°
Fractional coordinates of all 5 atoms:
Li (0.0000, 0.0000, 0.0000)
Co (0.0000, 0.0000, 0.5000)
H (0.5000, 0.5000, 0.5000)
I (0.0000, 0.5000, 0.0000)
I (0.5000, 0.0000, 0.0000)